1.
Pr4GaSiBr2 PBE optimized geometry; formation energy from raw total energies = -0.9916 eV per atom; ρ = 5.724 g/cm3; total magnetization = 0.00 μB/cell; space group = P2/m (10); N(E_F) = 3.39 states/eV/f.u.
1.0
-0.850 -0.665 4.169
6.137 -4.390 0.550
2.006 7.292 1.571
Pr Ga Br Si
4 1 2 1
Cartesian
1.462 0.207 2.555
5.010 -1.657 0.757
3.133 4.559 1.365
5.831 2.030 3.736
2.644 -2.527 2.360
0.578 3.314 2.870
4.072 1.451 1.061
0.000 0.000 0.000

=====

2.
SiWI2 PBE optimized geometry; formation energy from raw total energies = 0.6891 eV per atom; ρ = 6.301 g/cm3; total magnetization = 2.75 μB/cell; space group = I-42d (122); N(E_F) = 5.31 states/eV/f.u.; energy above the lowest structure with this stoichiometry = 0 meV/atom
1.0
-3.879 1.248 -9.195
9.077 -1.557 -4.041
2.134 -2.533 -6.745
I W Si
4 2 2
Cartesian
-1.592 -0.842 -13.194
2.214 -1.786 -9.427
-1.327 0.136 -9.291
2.414 -0.386 -13.203
0.000 0.000 0.000
0.427 -0.720 -11.279
6.905 -2.122 -8.702
2.599 -0.154 -6.618

=====

3.
Pm2PrZn6 PBE optimized geometry; ρ = 6.957 g/cm3; total magnetization = 0.00 μB/cell; space group = P6/mmm (191); N(E_F) = 8.06 states/eV/f.u.; ΔH_f (0 K) = -305 kJ/mol of formula units
1.0
3.619 0.000 0.000
0.000 6.858 -3.959
0.000 0.000 7.919
Zn Pm Pr
6 2 1
Cartesian
1.809 0.000 5.266
1.809 2.297 -1.326
1.809 6.858 -1.307
1.809 2.297 1.326
1.809 4.561 2.633
1.809 4.561 5.286
0.000 2.286 3.959
3.619 4.572 0.000
0.000 0.000 7.919

=====

4.
Ho2ErTc PBE optimized geometry; ρ = 9.115 g/cm3; total magnetization = 0.25 μB/cell; space group = R-3m (166); N(E_F) = 5.95 states/eV/f.u.; ΔH_f (0 K) = 104 kJ/mol of formula units; energy above the lowest structure with this stoichiometry = 392 meV/atom
1.0
-1.387 0.842 -2.986
-1.478 -2.383 -1.920
-10.418 1.385 3.295
Tc Ho Er
1 2 1
Cartesian
-6.641 -0.078 -0.806
-7.454 0.790 1.751
-5.829 -0.947 -3.362
0.000 0.000 0.000

=====

5.
TbHfC PBE optimized geometry; ρ = 9.853 g/cm3; total magnetization = 0.25 μB/cell; space group = P3m1 (156); N(E_F) = 3.27 states/eV/f.u.; ΔH_f (0 K) = -106 kJ/mol of formula units; energy above the lowest structure with this stoichiometry = 42 meV/atom
1.0
5.818 0.000 0.000
0.000 3.419 0.000
0.000 -1.709 2.961
Tb Hf C
1 1 1
Cartesian
4.423 1.709 0.987
1.234 0.000 1.974
0.160 0.000 0.000

=====

6.
ReGeP2S PBE optimized geometry; formation energy from raw total energies = 1.5254 eV per atom; ρ = 6.171 g/cm3; total magnetization = 2.17 μB/cell; space group = P4/mmm (123); N(E_F) = 2.29 states/eV/f.u.; energy above the lowest structure with this stoichiometry = 898 meV/atom
1.0
4.573 0.000 0.000
0.000 4.573 0.000
0.000 0.000 4.540
P S Ge Re
2 1 1 1
Cartesian
0.000 2.287 0.000
2.287 0.000 0.000
0.000 0.000 2.270
0.000 0.000 0.000
2.287 2.287 2.270

=====

7.
Co3SbMo PBE optimized geometry; formation energy from raw total energies = 1.2509 eV per atom; ρ = 7.422 g/cm3; total magnetization = 0.00 μB/cell; space group = Pm-3m (221); N(E_F) = 6.66 states/eV/f.u.; energy above the lowest structure with this stoichiometry = 0 meV/atom
1.0
4.452 0.000 0.000
0.000 4.452 0.000
0.000 0.000 4.452
Co Sb Mo
3 1 1
Cartesian
2.226 0.000 0.000
0.000 0.000 2.226
0.000 2.226 0.000
2.226 2.226 2.226
0.000 0.000 0.000

=====

8.
Th2SnGe2Ru5 PBE optimized geometry; ρ = 11.235 g/cm3; total magnetization = 0.00 μB/cell; space group = P4/mbm (127); N(E_F) = 5.02 states/eV/f.u.; ΔH_f (0 K) = -475 kJ/mol of formula units
1.0
3.548 0.000 0.000
0.000 10.138 0.000
0.000 0.000 10.138
Ru Th Ge Sn
10 4 4 2
Cartesian
1.774 7.980 9.432
1.774 7.227 4.363
1.774 5.775 7.227
1.774 2.911 5.775
1.774 5.069 0.000
1.774 9.432 2.158
1.774 4.363 2.911
1.774 0.706 7.980
1.774 0.000 5.069
1.774 2.158 0.706
0.000 8.354 6.852
0.000 1.783 3.286
0.000 6.852 1.783
0.000 3.286 8.354
0.000 8.907 3.838
0.000 6.300 8.907
0.000 3.838 1.231
0.000 1.231 6.300
0.000 5.069 5.069
0.000 0.000 0.000

=====

9.
Tb6Ho12Cd PBE optimized geometry; ρ = 8.487 g/cm3; total magnetization = 0.00 μB/cell; space group = R-3 (148); N(E_F) = 28.32 states/eV/f.u.; ΔH_f (0 K) = 195 kJ/mol of formula units
1.0
-4.442 6.538 2.891
-6.092 -1.427 -5.629
-4.095 -4.959 5.429
Tb Ho Cd
6 12 1
Cartesian
-9.990 2.086 -1.360
-5.124 3.772 1.094
-9.505 -3.619 1.598
-5.802 -1.676 -2.282
-4.640 -1.933 4.052
-8.827 1.829 4.973
-8.238 -0.974 3.340
-2.656 -1.960 0.994
-6.102 -2.022 1.099
-5.738 1.086 2.904
-3.076 0.592 -1.438
-11.974 2.113 1.697
-12.185 -1.301 0.743
-2.444 1.453 1.948
-8.527 2.175 1.593
-6.391 1.127 -0.649
-8.892 -0.933 -0.213
-11.553 -0.439 4.130
0.000 0.000 0.000

=====

10.
Tl5HgAu6 PBE optimized geometry; ρ = 13.327 g/cm3; total magnetization = 0.00 μB/cell; space group = C2/m (12); N(E_F) = 4.55 states/eV/f.u.; ΔH_f (0 K) = 29 kJ/mol of formula units
1.0
-2.628 -2.933 -5.304
-2.837 -6.511 1.247
-7.532 -0.323 2.030
Au Tl Hg
6 5 1
Cartesian
-11.611 -7.577 -0.572
-8.152 -7.080 1.528
-4.845 -2.686 -3.555
-8.109 -5.056 -2.507
-1.385 -2.189 -1.456
-4.887 -4.710 0.480
-2.732 -4.722 -2.029
-6.456 -2.936 -1.172
-6.540 -6.831 -0.856
-5.653 -5.418 -4.311
-7.344 -4.349 2.284
0.000 0.000 0.000

=====

11.
NdDy5Y2 PBE optimized geometry; ρ = 7.119 g/cm3; total magnetization = 0.00 μB/cell; space group = P2_1/m (11); N(E_F) = 13.19 states/eV/f.u.; ΔH_f (0 K) = 152 kJ/mol of formula units; energy above the lowest structure with this stoichiometry = 178 meV/atom
1.0
-0.621 8.688 -1.715
-0.286 -16.348 -2.031
-10.759 -0.181 2.975
Dy Nd Y
10 2 4
Cartesian
-5.047 -7.023 -0.969
-5.194 -10.250 -1.771
-10.336 -0.881 1.226
-6.472 2.409 1.000
-8.542 -7.428 0.079
-1.515 -10.188 -2.788
-10.151 2.347 2.017
-6.619 -0.818 0.198
-1.330 -6.960 -1.997
-3.124 -0.413 -0.850
-3.153 3.147 -0.737
-8.513 -10.988 -0.034
-6.923 -4.356 0.468
-1.841 -3.436 -2.042
-4.743 -3.485 -1.239
-9.826 -4.405 1.271

=====

12.
TbNi2Sn PBE optimized geometry; ρ = 9.277 g/cm3; total magnetization = 0.00 μB/cell; space group = P4/mmm (123); N(E_F) = 4.00 states/eV/f.u.; ΔH_f (0 K) = -123 kJ/mol of formula units
1.0
-3.432 -0.765 -0.171
0.957 -3.812 -2.154
0.284 -2.146 3.924
Ni Tb Sn
2 1 1
Cartesian
0.479 -1.906 -1.077
0.142 -1.073 1.962
-1.096 -3.362 0.800
-1.716 -0.383 -0.085